(1)
Material: NaTlCdSb
Method: DFT, PBE
State: relaxed

a b c (Å): 5.3634 5.3634 5.3634
angles (deg): 60.00 60.00 60.00
With the nearest neighbours (Å) after each atom.
Element x y z (fractional)
Sb1 0.5000 0.5000 0.5000  4 Cd 3.28, 4 Na 3.28
Tl1 0.0000 0.0000 0.0000  4 Na 3.28, 4 Cd 3.28
Na1 0.2500 0.2500 0.2500  4 Sb 3.28, 4 Tl 3.28
Cd1 0.7500 0.7500 0.7500  4 Tl 3.28, 4 Sb 3.28

Summary:
size of the total moment = 0.000 μB per atom
mass density = 7.0 g/cm3
total energy = -9.2 eV per cell
N(E_F) = 1.83 states/eV per cell
calculated volume = 109.1 Å³/cell


(2)
Material: NaTl2Cd2Sb2
Method: DFT, PBE
State: relaxed

a b c (Å): 5.0537 5.0537 9.9224
angles (deg): 75.25 75.25 60.00
With the nearest neighbours (Å) after each atom.
Element x y z (fractional)
Na1 0.0000 0.0000 0.0000  6 Cd 3.21, 6 Sb 3.52
Tl1 0.1341 0.1341 0.5978  4 Sb 3.46-3.71, 3 Tl 3.46, 1 Na 3.81, 3 Cd 3.82
Tl2 0.8659 0.8659 0.4022  4 Sb 3.46-3.71, 3 Tl 3.46, 1 Na 3.81, 3 Cd 3.82
Cd1 0.6195 0.6195 0.1415  4 Sb 2.98-3.30, 3 Na 3.21
Cd2 0.3805 0.3805 0.8585  4 Sb 2.98-3.30, 3 Na 3.21
Sb1 0.7356 0.7356 0.7930  4 Cd 2.98-3.30
Sb2 0.2643 0.2643 0.2070  4 Cd 2.98-3.30

Summary:
size of the total moment = 0.000 μB per atom
mass density = 7.1 g/cm3
total energy = -16.8 eV per cell
N(E_F) = 2.21 states/eV per cell
calculated volume = 209.8 Å³/cell


(3)
Material: NaZnCdSb
Method: DFT, PBE
State: relaxed

a b c (Å): 5.1194 5.1194 5.1194
angles (deg): 60.00 60.00 60.00
With the nearest neighbours (Å) after each atom.
Element x y z (fractional)
Sb1 0.0000 0.0000 0.0000  4 Na 3.13, 4 Cd 3.13
Zn1 0.5000 0.5000 0.5000  4 Na 3.13, 4 Cd 3.13
Na1 0.2500 0.2500 0.2500  4 Sb 3.13, 4 Zn 3.13
Cd1 0.7500 0.7500 0.7500  4 Zn 3.13, 4 Sb 3.13

Summary:
size of the total moment = 0.000 μB per atom
mass density = 5.6 g/cm3
total energy = -7.8 eV per cell
N(E_F) = 0.18 states/eV per cell
calculated volume = 94.9 Å³/cell


(4)
Material: Na2Sc2Cd
Method: DFT, PBE
State: relaxed

a b c (Å): 4.0473 4.0473 9.8524
angles (deg): 78.15 78.15 90.00
With the nearest neighbours (Å) after each atom.
Element x y z (fractional)
Sc1 0.7500 0.2500 0.5000  4 Sc 2.86
Sc2 0.2500 0.7500 0.5000  4 Sc 2.86
Na1 0.4048 0.4048 0.1904  4 Cd 3.38, 4 Sc 3.55, 1 Na 3.59
Na2 0.5952 0.5952 0.8096  4 Cd 3.38, 4 Sc 3.55, 1 Na 3.59
Cd1 0.0000 0.0000 0.0000  8 Na 3.38

Summary:
size of the total moment = 0.000 μB per atom
mass density = 2.7 g/cm3
N(E_F) = 5.80 states/eV per cell
calculated volume = 154.4 Å³/cell
ΔH_f (0 K) = 0.43 eV/atom


(5)
Material: Na2ScCd6
Method: DFT, PBE
State: relaxed

a b c (Å): 3.1564 8.7351 8.7351
angles (deg): 59.99 90.01 90.01
With the nearest neighbours (Å) after each atom.
Element x y z (fractional)
Na1 0.0000 0.3333 0.3333  2 Na 3.16, 12 Cd 3.32
Na2 0.0000 0.6667 0.6667  2 Na 3.16, 12 Cd 3.32
Sc1 0.0000 0.0000 0.0000  2 Sc 3.16, 12 Cd 3.30
Cd1 0.4988 0.6682 0.0000  5 Cd 2.90-3.16
Cd2 0.5012 0.0000 0.3318  5 Cd 2.90-3.16
Cd3 0.5012 0.3318 0.0000  5 Cd 2.90-3.16
Cd4 0.5000 0.6681 0.3319  5 Cd 2.90-3.16
Cd5 0.4988 0.0000 0.6682  5 Cd 2.90-3.16
Cd6 0.5000 0.3319 0.6681  5 Cd 2.90-3.16

Summary:
size of the total moment = 0.040 μB per atom
mass density = 6.1 g/cm3
N(E_F) = 4.26 states/eV per cell
calculated volume = 208.6 Å³/cell
ΔH_f (0 K) = -0.14 eV/atom


(6)
Material: NaSc5Cd6
Method: DFT, PBE
State: relaxed

a b c (Å): 5.0116 7.1263 7.9345
angles (deg): 90.00 71.59 90.00
With the nearest neighbours (Å) after each atom.
Element x y z (fractional)
Sc1 0.6648 0.5000 0.6705  8 Cd 3.04-3.08
Sc2 0.3320 0.0000 0.3361  8 Cd 3.06-3.10
Sc3 0.0000 0.5000 0.0000  8 Cd 3.07-3.08
Sc4 0.6680 0.0000 0.6639  8 Cd 3.06-3.10
Sc5 0.3352 0.5000 0.3295  8 Cd 3.04-3.08
Na1 0.0000 0.0000 0.0000  8 Cd 3.08-3.10
Cd1 0.8322 0.7478 0.3356  7 Sc 3.06-3.08, 1 Na 3.10
Cd2 0.8322 0.2522 0.3356  7 Sc 3.06-3.08, 1 Na 3.10
Cd3 0.5000 0.2523 0.0000  6 Sc 3.04-3.10, 2 Na 3.08
Cd4 0.5000 0.7477 0.0000  6 Sc 3.04-3.10, 2 Na 3.08
Cd5 0.1678 0.7478 0.6644  7 Sc 3.06-3.08, 1 Na 3.10
Cd6 0.1678 0.2522 0.6644  7 Sc 3.06-3.08, 1 Na 3.10

Summary:
size of the total moment = 0.000 μB per atom
mass density = 5.7 g/cm3
N(E_F) = 11.04 states/eV per cell
calculated volume = 268.9 Å³/cell
ΔH_f (0 K) = -0.23 eV/atom


(7)
Material: NaScCd5
Method: DFT, PBE
State: relaxed

a b c (Å): 5.5865 5.5865 6.1764
angles (deg): 90.00 90.00 113.71
With the nearest neighbours (Å) after each atom.
Element x y z (fractional)
Na1 0.0000 0.0000 0.0000  10 Cd 3.09-3.19
Sc1 0.5000 0.5000 0.5000  10 Cd 3.05-3.20
Cd1 0.5000 0.0000 0.2486  6 Cd 3.05-3.20, 2 Na 3.19, 2 Sc 3.20
Cd2 0.0000 0.5000 0.2486  6 Cd 3.05-3.20, 2 Na 3.19, 2 Sc 3.20
Cd3 0.0000 0.0000 0.5000  2 Sc 3.05, 2 Na 3.09, 8 Cd 3.20
Cd4 0.0000 0.5000 0.7514  6 Cd 3.05-3.20, 2 Na 3.19, 2 Sc 3.20
Cd5 0.5000 0.0000 0.7514  6 Cd 3.05-3.20, 2 Na 3.19, 2 Sc 3.20

Summary:
size of the total moment = 0.000 μB per atom
mass density = 5.9 g/cm3
N(E_F) = 4.83 states/eV per cell
calculated volume = 176.5 Å³/cell
ΔH_f (0 K) = 0.01 eV/atom


(8)
Material: NaSc4Cd5
Method: DFT, PBE
State: relaxed

a b c (Å): 3.5427 3.5427 18.2318
angles (deg): 90.00 90.00 90.00
With the nearest neighbours (Å) after each atom.
Element x y z (fractional)
Na1 0.0000 0.0000 0.0000  8 Cd 3.27, 4 Na 3.54
Sc1 0.0000 0.0000 0.2089  8 Cd 3.03-3.08
Sc2 0.0000 0.0000 0.4036  8 Cd 3.06
Sc3 0.0000 0.0000 0.5964  8 Cd 3.06
Sc4 0.0000 0.0000 0.7911  8 Cd 3.03-3.08
Cd1 0.5000 0.5000 0.1156  4 Sc 3.03, 4 Na 3.27
Cd2 0.5000 0.5000 0.3070  8 Sc 3.06-3.08
Cd3 0.5000 0.5000 0.5000  8 Sc 3.06
Cd4 0.5000 0.5000 0.6930  8 Sc 3.06-3.08
Cd5 0.5000 0.5000 0.8844  4 Sc 3.03, 4 Na 3.27

Summary:
size of the total moment = 0.000 μB per atom
mass density = 5.6 g/cm3
N(E_F) = 8.51 states/eV per cell
calculated volume = 228.8 Å³/cell
ΔH_f (0 K) = -0.23 eV/atom


(9)
Material: NaSc2Cd8
Method: DFT, PBE
State: relaxed

a b c (Å): 4.9503 6.8130 8.5485
angles (deg): 113.48 106.83 90.00
With the nearest neighbours (Å) after each atom.
Element x y z (fractional)
Na1 0.5000 0.0000 0.0000  8 Cd 2.93-3.17
Sc1 0.1900 0.6900 0.3799  10 Cd 2.96-3.31
Sc2 0.8100 0.3100 0.6201  10 Cd 2.96-3.31
Cd1 0.6498 0.8715 0.2996  1 Na 2.93, 3 Sc 2.96-3.05, 4 Cd 3.02-3.18
Cd2 0.3502 0.5718 0.7004  1 Na 2.93, 3 Sc 2.96-3.05, 4 Cd 3.02-3.18
Cd3 0.1619 0.1619 0.3237  8 Cd 3.12-3.18, 4 Sc 3.31-3.43, 2 Na 3.45
Cd4 0.0000 0.2907 0.0000  3 Cd 2.85-3.12, 2 Sc 3.17, 2 Na 3.17
Cd5 0.8381 0.8381 0.6763  8 Cd 3.12-3.18, 4 Sc 3.31-3.43, 2 Na 3.45
Cd6 0.6498 0.4282 0.2996  1 Na 2.93, 3 Sc 2.96-3.05, 4 Cd 3.02-3.18
Cd7 0.3502 0.1285 0.7004  1 Na 2.93, 3 Sc 2.96-3.05, 4 Cd 3.02-3.18
Cd8 0.0000 0.7093 0.0000  3 Cd 2.85-3.12, 2 Sc 3.17, 2 Na 3.17

Summary:
size of the total moment = 0.000 μB per atom
mass density = 6.7 g/cm3
N(E_F) = 5.73 states/eV per cell
calculated volume = 250.9 Å³/cell
ΔH_f (0 K) = -0.11 eV/atom


(10)
Material: Na2Sc2Cd
Method: DFT, PBE
State: relaxed

a b c (Å): 7.1516 7.1516 5.0588
angles (deg): 90.00 90.00 90.00
With the nearest neighbours (Å) after each atom.
Element x y z (fractional)
Sc1 0.1833 0.6833 0.5000  6 Na 3.16-3.40
Sc2 0.6833 0.8167 0.5000  6 Na 3.16-3.40
Sc3 0.8167 0.3167 0.5000  6 Na 3.16-3.40
Sc4 0.3167 0.1833 0.5000  6 Na 3.16-3.40
Na1 0.3709 0.8709 0.0000  1 Na 2.61, 2 Cd 2.81
Na2 0.8709 0.6291 0.0000  1 Na 2.61, 2 Cd 2.81
Na3 0.6291 0.1291 0.0000  1 Na 2.61, 2 Cd 2.81
Na4 0.1291 0.3709 0.0000  1 Na 2.61, 2 Cd 2.81
Cd1 0.0000 0.0000 0.0000  4 Na 2.81
Cd2 0.5000 0.5000 0.0000  4 Na 2.81

Summary:
size of the total moment = 0.309 μB per atom
mass density = 3.2 g/cm3
N(E_F) = 11.47 states/eV per cell
calculated volume = 258.7 Å³/cell
ΔH_f (0 K) = 0.43 eV/atom


(11)
Material: NaScCd2
Method: DFT, PBE
State: relaxed

a b c (Å): 3.5035 3.5035 7.7654
angles (deg): 90.00 90.00 90.00
With the nearest neighbours (Å) after each atom.
Element x y z (fractional)
Sc1 0.5000 0.5000 0.0000  8 Cd 3.05
Na1 0.5000 0.5000 0.5000  8 Cd 3.25, 4 Na 3.50
Cd1 0.0000 0.0000 0.7709  4 Sc 3.05, 4 Na 3.25
Cd2 0.0000 0.0000 0.2291  4 Sc 3.05, 4 Na 3.25

Summary:
size of the total moment = 0.103 μB per atom
mass density = 5.1 g/cm3
N(E_F) = 3.83 states/eV per cell
calculated volume = 95.3 Å³/cell
ΔH_f (0 K) = -0.13 eV/atom


(12)
Material: NaScCd14
Method: DFT, PBE
State: relaxed

a b c (Å): 6.4408 6.4408 8.6857
angles (deg): 90.00 90.00 90.00
With the nearest neighbours (Å) after each atom.
Element x y z (fractional)
Na1 0.3750 0.3750 0.5000  12 Cd 3.17-3.22
Sc1 0.8750 0.8750 0.5000  12 Cd 3.15-3.22
Cd1 0.8750 0.8750 0.0000  12 Cd 3.12-3.22
Cd2 0.3750 0.3750 0.0000  12 Cd 3.14-3.22
Cd3 0.8750 0.3750 0.5000  8 Cd 3.16, 2 Sc 3.22, 2 Na 3.22
Cd4 0.8750 0.3750 0.0000  12 Cd 3.13-3.22
Cd5 0.3750 0.8750 0.5000  8 Cd 3.16, 2 Na 3.22, 2 Sc 3.22
Cd6 0.3750 0.8750 0.0000  12 Cd 3.13-3.22
Cd7 0.6267 0.1233 0.2479  10 Cd 3.12-3.24, 1 Sc 3.15, 1 Na 3.17
Cd8 0.6267 0.1233 0.7521  10 Cd 3.12-3.24, 1 Sc 3.15, 1 Na 3.17
Cd9 0.1233 0.6267 0.2479  10 Cd 3.12-3.24, 1 Sc 3.15, 1 Na 3.17
Cd10 0.1233 0.6267 0.7521  10 Cd 3.12-3.24, 1 Sc 3.15, 1 Na 3.17
Cd11 0.6267 0.6267 0.2479  10 Cd 3.12-3.24, 1 Sc 3.15, 1 Na 3.17
Cd12 0.6267 0.6267 0.7521  10 Cd 3.12-3.24, 1 Sc 3.15, 1 Na 3.17
Cd13 0.1233 0.1233 0.2479  10 Cd 3.12-3.24, 1 Sc 3.15, 1 Na 3.17
Cd14 0.1233 0.1233 0.7521  10 Cd 3.12-3.24, 1 Sc 3.15, 1 Na 3.17

Summary:
size of the total moment = 0.000 μB per atom
mass density = 7.6 g/cm3
N(E_F) = 8.30 states/eV per cell
calculated volume = 360.3 Å³/cell
ΔH_f (0 K) = -0.07 eV/atom